First-principles (GGA-PBE) data for AlMoPt2 after structural relaxation, as listed in Alexandria via LeMat-Bulk.

Calculated values
ΔH_f (0 K) = -0.418 eV/atom
SG = I4/mmm (139)
N(E_F) = 2.682 states/eV/cell

Cell and atoms, written as extended XYZ:
```
4
Lattice="-1.9668 1.9668 3.9583 1.9668 -1.9668 3.9583 1.9668 1.9668 -3.9583" Properties=species:S:1:pos:R:3 pbc="T T T"
Al 0.0000 0.0000 0.0000
Mo 0.0000 0.0000 3.9583
Pt 1.9668 0.0000 1.9791
Pt 0.0000 1.9668 1.9791
```